# 1
# ScAs8, relaxed, DFT PBEsol
# Calculated density in g cm⁻³: 6.11
# Size of the total moment in μB per cell: 0.00
# DFT formation energy in eV per atom: -0.026
# Total DFT energy (no corrections) in eV/atom: -5.299
data_ScAs8
_chemical_formula_sum 'Sc2 As16'
_cell_length_a 10.085
_cell_length_b 10.085
_cell_length_c 3.441
_cell_angle_alpha 90.00
_cell_angle_beta 90.00
_cell_angle_gamma 90.00
_space_group_name_H-M_alt 'I 4/m m m'
_space_group_IT_number 139
_space_group_name_Hall '-I 4 2'
loop_
_atom_site_label
_atom_site_type_symbol
_atom_site_fract_x
_atom_site_fract_y
_atom_site_fract_z
Sc1 Sc 0.000 0.000 0.000
As1 As 0.000 0.290 0.000
As2 As 0.161 0.161 0.500



# 2
# ScAs3, relaxed, DFT PBEsol
# Calculated density in g cm⁻³: 5.52
# Size of the total moment in μB per cell: 0.00
# DFT formation energy in eV per atom: -0.292
# Total DFT energy (no corrections) in eV/atom: -5.774
data_ScAs3
_chemical_formula_sum 'Sc1 As3'
_cell_length_a 3.6408
_cell_length_b 3.6408
_cell_length_c 7.0624
_cell_angle_alpha 90.00
_cell_angle_beta 90.00
_cell_angle_gamma 120.00
_space_group_name_H-M_alt 'P -6 m 2'
_space_group_IT_number 187
_space_group_name_Hall 'P -6 2'
loop_
_atom_site_label
_atom_site_type_symbol
_atom_site_fract_x
_atom_site_fract_y
_atom_site_fract_z
Sc1 Sc 0.0000 0.0000 0.0000
As1 As 0.0000 0.0000 0.5000
As2 As 0.6667 0.3333 0.2507



# 3
# ScAs3, relaxed, DFT PBEsol
# Calculated density in g cm⁻³: 6.10
# Size of the total moment in μB per cell: 0.00
# DFT formation energy in eV per atom: -0.368
# Total DFT energy (no corrections) in eV/atom: -5.849
data_ScAs3
_chemical_formula_sum 'Sc2 As6'
_cell_length_a 5.275
_cell_length_b 5.275
_cell_length_c 5.275
_cell_angle_alpha 90.00
_cell_angle_beta 90.00
_cell_angle_gamma 90.00
_space_group_name_H-M_alt 'P m -3 n'
_space_group_IT_number 223
_space_group_name_Hall '-P 4n 2 3'
loop_
_atom_site_label
_atom_site_type_symbol
_atom_site_fract_x
_atom_site_fract_y
_atom_site_fract_z
Sc1 Sc 0.000 0.000 0.000
As1 As 0.000 0.250 0.500



# 4
# ScAs2, relaxed, DFT PBEsol
# Calculated density in g cm⁻³: 5.45
# Size of the total moment in μB per cell: 0.00
# DFT formation energy in eV per atom: -0.794
# Total DFT energy (no corrections) in eV/atom: -6.400
data_ScAs2
_chemical_formula_sum 'Sc4 As8'
_cell_length_a 9.550
_cell_length_b 3.581
_cell_length_c 7.224
_cell_angle_alpha 90.00
_cell_angle_beta 106.15
_cell_angle_gamma 90.00
_space_group_name_H-M_alt 'C 1 2/m 1'
_space_group_IT_number 12
_space_group_name_Hall '-C 2y'
loop_
_atom_site_label
_atom_site_type_symbol
_atom_site_fract_x
_atom_site_fract_y
_atom_site_fract_z
Sc1 Sc 0.169 0.000 0.167
As1 As 0.054 0.500 0.858
As2 As 0.168 0.000 0.546



Copy entry 2 word for word.
# ScAs3, relaxed, DFT PBEsol
# Calculated density in g cm⁻³: 5.52
# Size of the total moment in μB per cell: 0.00
# DFT formation energy in eV per atom: -0.292
# Total DFT energy (no corrections) in eV/atom: -5.774
data_ScAs3
_chemical_formula_sum 'Sc1 As3'
_cell_length_a 3.6408
_cell_length_b 3.6408
_cell_length_c 7.0624
_cell_angle_alpha 90.00
_cell_angle_beta 90.00
_cell_angle_gamma 120.00
_space_group_name_H-M_alt 'P -6 m 2'
_space_group_IT_number 187
_space_group_name_Hall 'P -6 2'
loop_
_atom_site_label
_atom_site_type_symbol
_atom_site_fract_x
_atom_site_fract_y
_atom_site_fract_z
Sc1 Sc 0.0000 0.0000 0.0000
As1 As 0.0000 0.0000 0.5000
As2 As 0.6667 0.3333 0.2507